## RbAsPd (PBE)

Data for RbAsPd after structural relaxation.

a = 7.221 Å, b = 7.221 Å, c = 7.221 Å
α = 90.00°, β = 90.00°, γ = 90.00°
Space group F-43m (No. 216)
One atom of each set of equivalent atoms:
Rb 0.000 0.000 0.000 x4
As 0.250 0.250 0.750 x4
Pd 0.250 0.250 0.250 x4

## Properties
excess energy over the best structure of this formula in the dataset = 674.8 meV per atom
calculated total energy = -2.591 eV per atom

---

## MoCl3 (PBE)

Data for MoCl3 after structural relaxation.

a = 6.0848 Å, b = 6.0848 Å, c = 16.7902 Å
α = 90.00°, β = 90.00°, γ = 120.00°
Space group R-3c (No. 167, hexagonal axes)
One atom of each set of equivalent atoms:
Mo 0.0000 0.0000 0.0000 x6
Cl 0.0000 0.3322 0.2500 x18

## Properties
excess energy over the best structure of this formula in the dataset = 122.7 meV per atom
calculated total energy = -4.823 eV per atom

---

## BaGa3Os (PBE)

Data for BaGa3Os after structural relaxation.

a = 4.889 Å, b = 4.889 Å, c = 4.889 Å
α = 90.00°, β = 90.00°, γ = 90.00°
Space group Pm-3m (No. 221)
One atom of each set of equivalent atoms:
Ba 0.000 0.000 0.000 x1
Ga 0.000 0.500 0.500 x3
Os 0.500 0.500 0.500 x1

## Properties
calculated total energy = -4.843 eV per atom

---

## PaBTe (PBE)

Data for PaBTe after structural relaxation.

a = 6.741 Å, b = 6.741 Å, c = 6.741 Å
α = 90.00°, β = 90.00°, γ = 90.00°
Space group F-43m (No. 216)
One atom of each set of equivalent atoms:
Pa 0.000 0.000 0.000 x4
B 0.000 0.000 0.500 x4
Te 0.250 0.250 0.750 x4

## Properties
excess energy over the best structure of this formula in the dataset = 804.1 meV per atom
calculated total energy = -5.361 eV per atom

---

## YHfCS (PBE)

Data for YHfCS after structural relaxation.

a = 3.5291 Å, b = 3.5291 Å, c = 12.5415 Å
α = 90.00°, β = 90.00°, γ = 120.00°
Space group P-3m1 (No. 164)
One atom of each set of equivalent atoms:
Y 0.3333 0.6667 0.1085 x2
Hf 0.3333 0.6667 0.4061 x2
C 0.0000 0.0000 0.0000 x1
C 0.0000 0.0000 0.5000 x1
S 0.3333 0.6667 0.7309 x2

## Properties
excess energy over the best structure of this formula in the dataset = 37.2 meV per atom
calculated total energy = -8.695 eV per atom

---

## GdFeGe2Pd (PBE)

Data for GdFeGe2Pd after structural relaxation.

a = 4.186 Å, b = 4.186 Å, c = 10.175 Å
α = 90.00°, β = 90.00°, γ = 90.00°
Space group I-4m2 (No. 119)
One atom of each set of equivalent atoms:
Gd 0.000 0.000 0.000 x2
Fe 0.000 0.500 0.250 x2
Ge 0.000 0.000 0.376 x4
Pd 0.000 0.500 0.750 x2

## Properties
calculated total energy = -6.086 eV per atom

---

## Hf2Cd2O5 (PBE)

Data for Hf2Cd2O5 after structural relaxation.

a = 3.927 Å, b = 3.927 Å, c = 8.234 Å
α = 90.00°, β = 90.00°, γ = 90.00°
Space group P4/mmm (No. 123)
One atom of each set of equivalent atoms:
Hf 0.000 0.000 0.240 x2
Cd 0.500 0.500 0.000 x1
Cd 0.500 0.500 0.500 x1
O 0.000 0.000 0.000 x1
O 0.000 0.500 0.320 x4

## Properties
excess energy over the best structure of this formula in the dataset = 0.0 meV per atom
calculated total energy = -7.445 eV per atom

---

## ZnCoBiPd (PBE)

Data for ZnCoBiPd after structural relaxation.

a = 6.444 Å, b = 6.444 Å, c = 6.444 Å
α = 90.00°, β = 90.00°, γ = 90.00°
Space group F-43m (No. 216)
One atom of each set of equivalent atoms:
Zn 0.000 0.000 0.000 x4
Co 0.250 0.250 0.750 x4
Bi 0.000 0.000 0.500 x4
Pd 0.250 0.250 0.250 x4

## Properties
excess energy over the best structure of this formula in the dataset = 0.0 meV per atom
calculated total energy = -4.311 eV per atom

---

## Lu3Pd2 (PBE)

Data for Lu3Pd2 after structural relaxation.

a = 13.683 Å, b = 3.617 Å, c = 9.555 Å
α = 90.00°, β = 104.72°, γ = 90.00°
Space group C2/m (No. 12)
One atom of each set of equivalent atoms:
Lu 0.091 0.000 0.160 x4
Lu 0.132 0.500 0.495 x4
Lu 0.148 0.500 0.874 x4
Pd 0.034 0.000 0.655 x4
Pd 0.247 0.500 0.270 x4

## Properties
DFT formation energy = -0.7867 eV per atom
calculated total energy = -5.571 eV per atom

---

## Pm2NdPt9 (PBE)

Data for Pm2NdPt9 after structural relaxation.

a = 5.4486 Å, b = 5.4486 Å, c = 26.6845 Å
α = 90.00°, β = 90.00°, γ = 120.00°
Space group R-3m (No. 166, hexagonal axes)
One atom of each set of equivalent atoms:
Pm 0.0000 0.0000 0.1393 x6
Nd 0.0000 0.0000 0.0000 x3
Pt 0.0000 0.0000 0.3329 x6
Pt 0.0000 0.0000 0.5000 x3
Pt 0.0039 0.5019 0.9152 x18

## Properties
DFT formation energy = -0.9132 eV per atom
calculated total energy = -6.643 eV per atom

---

## YFeBiW (PBE)

Data for YFeBiW after structural relaxation.

a = 6.803 Å, b = 6.803 Å, c = 6.803 Å
α = 90.00°, β = 90.00°, γ = 90.00°
Space group F-43m (No. 216)
One atom of each set of equivalent atoms:
Y 0.000 0.000 0.000 x4
Fe 0.250 0.250 0.750 x4
Bi 0.000 0.000 0.500 x4
W 0.250 0.250 0.250 x4

## Properties
excess energy over the best structure of this formula in the dataset = 0.0 meV per atom
calculated total energy = -7.209 eV per atom

---

## LiZnFeSb (PBE)

Data for LiZnFeSb after structural relaxation.

a = 6.109 Å, b = 6.109 Å, c = 6.109 Å
α = 90.00°, β = 90.00°, γ = 90.00°
Space group F-43m (No. 216)
One atom of each set of equivalent atoms:
Li 0.000 0.000 0.000 x4
Zn 0.250 0.250 0.750 x4
Fe 0.000 0.000 0.500 x4
Sb 0.250 0.250 0.250 x4

## Properties
excess energy over the best structure of this formula in the dataset = 0.0 meV per atom
calculated total energy = -3.925 eV per atom